--- A ---
VASP calculation (PBE) on a geometry-optimized GdZn structure.

The structure belongs to space group P-6m2 (No. 187); the cell edges are 3.4849, 3.4849 and 4.7171 Å and the angles 90.00°, 90.00° and 120.00°. The asymmetric unit holds Gd at (0.0000, 0.0000, 0.0000) and Zn at (0.6667, 0.3333, 0.5000).


--- B ---
VASP calculation (PBE) on a geometry-optimized GdZn structure.

The structure belongs to space group Pmc2_1 (No. 26); the cell edges are 4.4442, 10.9845 and 5.8834 Å and the angles 90.00°, 90.00° and 90.00°. The asymmetric unit holds Gd at (0.0000, 0.0911, 0.0000), Gd at (0.0000, 0.3970, 0.7667), Gd at (0.5000, 0.1603, 0.5141), Zn at (0.0000, 0.3147, 0.2879), Zn at (0.5000, 0.2935, 0.0318) and Zn at (0.5000, 0.4375, 0.4071).


Pick the most stable structure from those above. Pick: B